Density functional theory data (GGA-PBE) for crystalline Rb2Li2Cr at its relaxed geometry.

It has space group I4/mmm (No. 139), with a = 4.1977 Å, b = 4.1977 Å, c = 23.7181 Å, α = 90.00°, β = 90.00° and γ = 90.00°. The distinct sites, in fractional coordinates, are Rb at (0.0000, 0.0000, 0.1040), Li at (0.0000, 0.5000, 0.2500) and Cr at (0.0000, 0.0000, 0.5000).

The calculation puts the polymorph energy (0 for the lowest one) at 0.000 eV/atom. Its calculated total energy is -2.44 eV per atom. The calculation puts the formation energy from the elements at 61.1 kJ per mole of atoms. Its total magnetization is 10.0 Bohr magnetons per cell.